Record 1
Entry from Alexandria: an optimized crystal structure of Sr2TiGaMo (PBE).

## Properties
Raw total energy, eV per atom: -3.9081
V, Å³ per cell: 170
Energy of formation from the pure elements, eV per atom: 1.115
Space-group type: P4/mmm (123)
Total moment, Bohr magnetons per cell: 3.1

```
data_Sr2TiGaMo
_chemical_formula_sum 'Sr2 Ti1 Ga1 Mo1'
_cell_length_a 5.908
_cell_length_b 5.908
_cell_length_c 4.877
_cell_angle_alpha 90.00
_cell_angle_beta 90.00
_cell_angle_gamma 90.00
_symmetry_space_group_name_H-M 'P 1'
_symmetry_Int_Tables_number 1
loop_
_symmetry_equiv_pos_as_xyz
'x,y,z'
loop_
_atom_site_label
_atom_site_type_symbol
_atom_site_fract_x
_atom_site_fract_y
_atom_site_fract_z
Sr1 Sr 0.000 0.500 0.000
Sr2 Sr 0.500 0.000 0.000
Ti1 Ti 0.000 0.000 0.500
Ga1 Ga 0.500 0.500 0.000
Mo1 Mo 0.500 0.500 0.500
```

***

Record 2
Entry from Alexandria: an optimized crystal structure of RbSrPb2 (PBE).

## Properties
Raw total energy, eV per atom: -2.4430
V, Å³ per cell: 328
Excess energy over the best structure of this formula in the dataset, meV per atom: 356.7
Energy of formation from the pure elements, eV per atom: 0.074
Space-group type: I-42d (122)
Total moment, Bohr magnetons per cell: 0.0

```
data_RbSrPb2
_chemical_formula_sum 'Rb2 Sr2 Pb4'
_cell_length_a 7.702
_cell_length_b 7.702
_cell_length_c 7.702
_cell_angle_alpha 101.75
_cell_angle_beta 101.75
_cell_angle_gamma 126.35
_symmetry_space_group_name_H-M 'P 1'
_symmetry_Int_Tables_number 1
loop_
_symmetry_equiv_pos_as_xyz
'x,y,z'
loop_
_atom_site_label
_atom_site_type_symbol
_atom_site_fract_x
_atom_site_fract_y
_atom_site_fract_z
Rb1 Rb 0.000 0.000 0.000
Rb2 Rb 0.750 0.250 0.500
Sr1 Sr 0.250 0.750 0.500
Sr2 Sr 0.500 0.500 0.000
Pb1 Pb 0.142 0.625 0.017
Pb2 Pb 0.375 0.392 0.517
Pb3 Pb 0.608 0.125 0.983
Pb4 Pb 0.875 0.858 0.483
```

***

Record 3
Entry from Alexandria: an optimized crystal structure of Hf2Zr6Sc (PBE).

## Properties
Raw total energy, eV per atom: -8.1319
V, Å³ per cell: 234
Excess energy over the best structure of this formula in the dataset, meV per atom: 397.4
Energy of formation from the pure elements, eV per atom: 0.482
Space-group type: R3m (160)
Total moment, Bohr magnetons per cell: 0.0

```
data_Hf2Zr6Sc
_chemical_formula_sum 'Hf2 Zr6 Sc1'
_cell_length_a 7.692
_cell_length_b 7.692
_cell_length_c 7.692
_cell_angle_alpha 48.54
_cell_angle_beta 48.54
_cell_angle_gamma 48.54
_symmetry_space_group_name_H-M 'P 1'
_symmetry_Int_Tables_number 1
loop_
_symmetry_equiv_pos_as_xyz
'x,y,z'
loop_
_atom_site_label
_atom_site_type_symbol
_atom_site_fract_x
_atom_site_fract_y
_atom_site_fract_z
Hf1 Hf 0.000 0.000 0.000
Hf2 Hf 0.167 0.167 0.167
Zr1 Zr 0.175 0.707 0.707
Zr2 Zr 0.461 0.461 0.988
Zr3 Zr 0.461 0.988 0.461
Zr4 Zr 0.707 0.175 0.707
Zr5 Zr 0.707 0.707 0.175
Zr6 Zr 0.988 0.461 0.461
Sc1 Sc 0.748 0.748 0.748
```

***

Record 4
Entry from Alexandria: an optimized crystal structure of CaMoN3 (PBE).

## Properties
Raw total energy, eV per atom: -7.5159
V, Å³ per cell: 279
Space-group type: Fd-3m (227)
Energy relative to the elements, uncorrected, meV per atom: 46
Total moment, Bohr magnetons per cell: 0.0

```
data_CaMoN3
_chemical_formula_sum 'Ca4 Mo4 N12'
_cell_length_a 7.336
_cell_length_b 7.336
_cell_length_c 7.336
_cell_angle_alpha 60.00
_cell_angle_beta 60.00
_cell_angle_gamma 60.00
_symmetry_space_group_name_H-M 'P 1'
_symmetry_Int_Tables_number 1
loop_
_symmetry_equiv_pos_as_xyz
'x,y,z'
loop_
_atom_site_label
_atom_site_type_symbol
_atom_site_fract_x
_atom_site_fract_y
_atom_site_fract_z
Ca1 Ca 0.000 0.000 0.000
Ca2 Ca 0.000 0.000 0.500
Ca3 Ca 0.000 0.500 0.000
Ca4 Ca 0.500 0.000 0.000
Mo1 Mo 0.000 0.500 0.500
Mo2 Mo 0.500 0.000 0.500
Mo3 Mo 0.500 0.500 0.000
Mo4 Mo 0.500 0.500 0.500
N1 N 0.172 0.172 0.578
N2 N 0.172 0.578 0.172
N3 N 0.172 0.578 0.578
N4 N 0.422 0.422 0.828
N5 N 0.422 0.828 0.422
N6 N 0.422 0.828 0.828
N7 N 0.578 0.172 0.172
N8 N 0.578 0.172 0.578
N9 N 0.578 0.578 0.172
N10 N 0.828 0.422 0.422
N11 N 0.828 0.422 0.828
N12 N 0.828 0.828 0.422
```

***

Record 5
Entry from Alexandria: an optimized crystal structure of YTl2Pt (PBE).

## Properties
Raw total energy, eV per atom: -4.5830
V, Å³ per cell: 98
Energy of formation from the pure elements, eV per atom: -0.274
Space-group type: I4/mmm (139)
Total moment, Bohr magnetons per cell: 0.0

```
data_YTl2Pt
_chemical_formula_sum 'Y1 Tl2 Pt1'
_cell_length_a 6.147
_cell_length_b 6.147
_cell_length_c 6.147
_cell_angle_alpha 139.14
_cell_angle_beta 139.14
_cell_angle_gamma 59.16
_symmetry_space_group_name_H-M 'P 1'
_symmetry_Int_Tables_number 1
loop_
_symmetry_equiv_pos_as_xyz
'x,y,z'
loop_
_atom_site_label
_atom_site_type_symbol
_atom_site_fract_x
_atom_site_fract_y
_atom_site_fract_z
Y1 Y 0.000 0.000 0.000
Tl1 Tl 0.250 0.750 0.500
Tl2 Tl 0.750 0.250 0.500
Pt1 Pt 0.500 0.500 0.000
```

***

Record 6
Entry from Alexandria: an optimized crystal structure of LiSnHgPb2 (PBE).

## Properties
Raw total energy, eV per atom: -2.7959
V, Å³ per cell: 135
Energy of formation from the pure elements, eV per atom: -0.069
Space-group type: Imm2 (44)
Total moment, Bohr magnetons per cell: 0.0

```
data_LiSnHgPb2
_chemical_formula_sum 'Li1 Sn1 Hg1 Pb2'
_cell_length_a 8.260
_cell_length_b 8.260
_cell_length_c 8.260
_cell_angle_alpha 155.58
_cell_angle_beta 144.48
_cell_angle_gamma 43.58
_symmetry_space_group_name_H-M 'P 1'
_symmetry_Int_Tables_number 1
loop_
_symmetry_equiv_pos_as_xyz
'x,y,z'
loop_
_atom_site_label
_atom_site_type_symbol
_atom_site_fract_x
_atom_site_fract_y
_atom_site_fract_z
Li1 Li 0.000 0.000 0.000
Sn1 Sn 0.395 0.895 0.500
Hg1 Hg 0.591 0.091 0.500
Pb1 Pb 0.178 0.678 0.500
Pb2 Pb 0.807 0.307 0.500
```

***

Record 7
Entry from Alexandria: an optimized crystal structure of PmHo4Er2Th (PBE).

## Properties
Raw total energy, eV per atom: -4.5028
V, Å³ per cell: 523
Energy of formation from the pure elements, eV per atom: 0.448
Space-group type: Imma (74)
Total moment, Bohr magnetons per cell: 0.0

```
data_PmHo4Er2Th
_chemical_formula_sum 'Pm2 Ho8 Er4 Th2'
_cell_length_a 9.457
_cell_length_b 9.457
_cell_length_c 9.457
_cell_angle_alpha 138.19
_cell_angle_beta 103.32
_cell_angle_gamma 91.39
_symmetry_space_group_name_H-M 'P 1'
_symmetry_Int_Tables_number 1
loop_
_symmetry_equiv_pos_as_xyz
'x,y,z'
loop_
_atom_site_label
_atom_site_type_symbol
_atom_site_fract_x
_atom_site_fract_y
_atom_site_fract_z
Pm1 Pm 0.500 0.000 0.000
Pm2 Pm 0.500 0.500 0.500
Ho1 Ho 0.245 0.748 0.498
Ho2 Ho 0.247 0.243 0.496
Ho3 Ho 0.247 0.750 0.004
Ho4 Ho 0.250 0.252 0.998
Ho5 Ho 0.750 0.748 0.002
Ho6 Ho 0.753 0.250 0.996
Ho7 Ho 0.753 0.757 0.504
Ho8 Ho 0.755 0.252 0.502
Er1 Er 0.000 0.000 0.500
Er2 Er 0.000 0.500 0.000
Er3 Er 0.000 0.500 0.500
Er4 Er 0.500 0.500 0.000
Th1 Th 0.000 0.000 0.000
Th2 Th 0.500 0.000 0.500
```

***

Record 8
Entry from Alexandria: an optimized crystal structure of Ce4CdHg5 (PBE).

## Properties
Raw total energy, eV per atom: -2.8734
V, Å³ per cell: 259
Energy of formation from the pure elements, eV per atom: -0.257
Space-group type: P4/mmm (123)
Total moment, Bohr magnetons per cell: 4.5

```
data_Ce4CdHg5
_chemical_formula_sum 'Ce4 Cd1 Hg5'
_cell_length_a 3.463
_cell_length_b 3.463
_cell_length_c 21.629
_cell_angle_alpha 90.00
_cell_angle_beta 90.00
_cell_angle_gamma 90.00
_symmetry_space_group_name_H-M 'P 1'
_symmetry_Int_Tables_number 1
loop_
_symmetry_equiv_pos_as_xyz
'x,y,z'
loop_
_atom_site_label
_atom_site_type_symbol
_atom_site_fract_x
_atom_site_fract_y
_atom_site_fract_z
Ce1 Ce 0.000 0.000 0.104
Ce2 Ce 0.000 0.000 0.310
Ce3 Ce 0.000 0.000 0.690
Ce4 Ce 0.000 0.000 0.896
Cd1 Cd 0.000 0.000 0.500
Hg1 Hg 0.500 0.500 0.000
Hg2 Hg 0.500 0.500 0.207
Hg3 Hg 0.500 0.500 0.411
Hg4 Hg 0.500 0.500 0.589
Hg5 Hg 0.500 0.500 0.793
```

***

Record 9
Entry from Alexandria: an optimized crystal structure of Li2ZrCl (PBE).

## Properties
Raw total energy, eV per atom: -3.5547
V, Å³ per cell: 72
Excess energy over the best structure of this formula in the dataset, meV per atom: 595.8
Space-group type: I-4m2 (119)
Energy relative to the elements, uncorrected, meV per atom: 1
Total moment, Bohr magnetons per cell: 0.2

```
data_Li2ZrCl
_chemical_formula_sum 'Li2 Zr1 Cl1'
_cell_length_a 5.514
_cell_length_b 5.514
_cell_length_c 5.514
_cell_angle_alpha 138.92
_cell_angle_beta 138.92
_cell_angle_gamma 59.50
_symmetry_space_group_name_H-M 'P 1'
_symmetry_Int_Tables_number 1
loop_
_symmetry_equiv_pos_as_xyz
'x,y,z'
loop_
_atom_site_label
_atom_site_type_symbol
_atom_site_fract_x
_atom_site_fract_y
_atom_site_fract_z
Li1 Li 0.000 0.000 0.000
Li2 Li 0.750 0.250 0.500
Zr1 Zr 0.250 0.750 0.500
Cl1 Cl 0.500 0.500 0.000
```

***

Record 10
Entry from Alexandria: an optimized crystal structure of NiMoPd2 (PBE).

## Properties
Raw total energy, eV per atom: -6.6046
V, Å³ per cell: 58
Excess energy over the best structure of this formula in the dataset, meV per atom: 140.8
Energy of formation from the pure elements, eV per atom: 0.145
Space-group type: F-43m (216)
Total moment, Bohr magnetons per cell: 0.0

```
data_NiMoPd2
_chemical_formula_sum 'Ni1 Mo1 Pd2'
_cell_length_a 4.337
_cell_length_b 4.337
_cell_length_c 4.337
_cell_angle_alpha 60.00
_cell_angle_beta 60.00
_cell_angle_gamma 60.00
_symmetry_space_group_name_H-M 'P 1'
_symmetry_Int_Tables_number 1
loop_
_symmetry_equiv_pos_as_xyz
'x,y,z'
loop_
_atom_site_label
_atom_site_type_symbol
_atom_site_fract_x
_atom_site_fract_y
_atom_site_fract_z
Ni1 Ni 0.000 0.000 0.000
Mo1 Mo 0.750 0.750 0.750
Pd1 Pd 0.250 0.250 0.250
Pd2 Pd 0.500 0.500 0.500
```

***

Record 11
Entry from Alexandria: an optimized crystal structure of SrHfAu2Cl (PBE).

## Properties
Raw total energy, eV per atom: -3.5645
V, Å³ per cell: 165
Space-group type: P4/mmm (123)
Energy relative to the elements, uncorrected, meV per atom: 443
Total moment, Bohr magnetons per cell: 1.4

```
data_SrHfAu2Cl
_chemical_formula_sum 'Sr1 Hf1 Au2 Cl1'
_cell_length_a 5.654
_cell_length_b 5.654
_cell_length_c 5.166
_cell_angle_alpha 90.00
_cell_angle_beta 90.00
_cell_angle_gamma 90.00
_symmetry_space_group_name_H-M 'P 1'
_symmetry_Int_Tables_number 1
loop_
_symmetry_equiv_pos_as_xyz
'x,y,z'
loop_
_atom_site_label
_atom_site_type_symbol
_atom_site_fract_x
_atom_site_fract_y
_atom_site_fract_z
Sr1 Sr 0.000 0.000 0.000
Hf1 Hf 0.500 0.500 0.500
Au1 Au 0.000 0.500 0.000
Au2 Au 0.500 0.000 0.000
Cl1 Cl 0.000 0.000 0.500
```

***

Record 12
Entry from Alexandria: an optimized crystal structure of Zr2TaSb (PBE).

## Properties
Raw total energy, eV per atom: -8.4767
V, Å³ per cell: 88
Space-group type: Pm (6)
Energy relative to the elements, uncorrected, meV per atom: -209
Total moment, Bohr magnetons per cell: 0.0

```
data_Zr2TaSb
_chemical_formula_sum 'Zr2 Ta1 Sb1'
_cell_length_a 3.553
_cell_length_b 4.646
_cell_length_c 5.613
_cell_angle_alpha 90.00
_cell_angle_beta 108.32
_cell_angle_gamma 90.00
_symmetry_space_group_name_H-M 'P 1'
_symmetry_Int_Tables_number 1
loop_
_symmetry_equiv_pos_as_xyz
'x,y,z'
loop_
_atom_site_label
_atom_site_type_symbol
_atom_site_fract_x
_atom_site_fract_y
_atom_site_fract_z
Zr1 Zr 0.000 0.000 0.000
Zr2 Zr 0.291 0.500 0.586
Ta1 Ta 0.734 0.000 0.474
Sb1 Sb 0.568 0.500 0.136
```